[1]
DFT (PBE-GGA) results for crystalline Sr2Ca8Hg at its relaxed geometry.

Properties
- Raw total energy: -20.3 eV for the cell shown
- Symmetry: No. 12

```
Sr2Ca8Hg
1.0
-5.469 1.044 2.338
-0.718 -7.374 1.611
6.773 0.050 8.021
Sr Hg Ca
2 1 8
Cartesian
-0.924 -3.991 7.418
1.509 -2.289 4.552
-2.734 0.522 1.169
0.037 -1.726 0.856
-1.646 -0.121 4.001
0.699 -6.009 4.318
2.232 -6.159 7.969
-2.496 -3.859 3.681
0.549 -4.554 11.114
3.082 -2.422 8.289
-0.114 -0.271 7.653
```

***

[2]
DFT (PBE-GGA) results for crystalline SrCaHg2 at its relaxed geometry.

Properties
- ΔE to the lowest computed polymorph: 0 meV/atom
- Raw total energy: -6.4 eV for the cell shown
- Symmetry: No. 10

```
SrCaHg2
1.0
-0.481 -1.542 -3.552
2.093 -3.074 1.051
-4.441 -6.671 3.497
Ca Hg Sr
1 2 1
Cartesian
-2.001 -8.079 1.635
-4.331 -6.608 3.455
-1.284 -4.934 2.316
-0.827 -3.207 -0.639
```

***

[3]
DFT (PBE-GGA) results for crystalline Sr2CaHg2 at its relaxed geometry.

Properties
- ΔE to the lowest computed polymorph: 283 meV/atom
- Raw total energy: -6.8 eV for the cell shown
- Symmetry: No. 139

```
Sr2CaHg2
1.0
-4.353 0.691 0.695
-0.980 -3.072 -3.084
-2.665 -8.445 6.031
Ca Hg Sr
1 2 2
Cartesian
0.000 0.000 0.000
-3.156 -6.353 0.876
-4.842 -4.472 2.765
-5.332 -7.815 3.023
-2.666 -3.010 0.618
```

***

[4]
DFT (PBE-GGA) results for crystalline SrCa3Hg12 at its relaxed geometry.

Properties
- Raw total energy: -17.4 eV for the cell shown
- Symmetry: No. 123

```
SrCa3Hg12
1.0
4.733 0.000 0.000
0.000 4.733 0.000
0.000 0.000 18.958
Hg Ca Sr
12 3 1
Cartesian
0.000 2.367 7.143
0.000 2.367 16.476
2.367 0.000 16.476
0.000 2.367 2.482
2.367 2.367 4.815
2.367 2.367 9.479
2.367 2.367 14.143
2.367 2.367 0.000
0.000 2.367 11.815
2.367 0.000 2.482
2.367 0.000 7.143
2.367 0.000 11.815
0.000 0.000 4.817
0.000 0.000 9.479
0.000 0.000 14.141
0.000 0.000 0.000
```

***

[5]
DFT (PBE-GGA) results for crystalline SrCaHg at its relaxed geometry.

Properties
- ΔE to the lowest computed polymorph: 592 meV/atom
- Raw total energy: -3.3 eV for the cell shown
- Symmetry: No. 216

```
SrCaHg
1.0
5.574 0.000 0.000
2.787 4.827 0.000
2.787 1.609 4.551
Hg Ca Sr
1 1 1
Cartesian
5.574 3.218 2.276
0.000 0.000 0.000
8.361 4.827 3.413
```